BeCoRh2 at its PBEsol-relaxed geometry. Source: Alexandria via LeMat-Bulk, functional meta-GGA SCAN.

Cell and atoms, written as POSCAR:
```
BeCoRh2
1.0
1.3772 -2.1927 0.0000
1.3772 2.1927 0.0000
0.0000 0.0000 7.8284
Be Co Rh
1 1 2
Direct
0.0000 0.0000 0.0000
0.0000 0.0000 0.5000
0.5000 0.5000 0.2296
0.5000 0.5000 0.7704
```

The calculated volume is 11.82 Å³ per atom. The value obtained for the calculated total energy is -22.44 eV/atom. For the density of states at the Fermi level, the calculation gives 2.847 states/eV/cell.